Below is a geometry-optimized B2C structure, with properties calculated at the PBE-GGA level.

Results
Excess energy over the best structure of this formula in the dataset, eV per formula unit: 1.04
Energy of formation, meV/atom: 533
Total DFT energy (no corrections), eV/cell: -83.9
N(E_F), states/eV/f.u.: 0.49

Geometry as extended XYZ:
```
12
Lattice="2.636 0.000 0.000 -1.318 2.283 0.000 0.000 0.000 14.273" Properties=species:S:1:pos:R:3 pbc="T T T"
B 0.000 0.000 2.875
B 0.000 0.000 11.399
B 0.000 1.522 4.879
B 0.000 1.522 6.717
B 0.000 1.522 12.426
B 1.318 0.761 1.847
B 1.318 0.761 7.556
B 1.318 0.761 9.395
C 0.000 0.000 4.419
C 0.000 0.000 9.854
C 0.000 1.522 14.011
C 1.318 0.761 0.263
```